# 1
Below is a geometry-optimized Cs2MgHgCl6 structure, with properties calculated at the PBE-GGA level.

The structure in POSCAR format:
```
Cs2MgHgCl6
1.0
3.749 2.164 12.512
-3.749 2.164 12.512
0.000 -4.329 12.512
Cs Mg Hg Cl
4 2 2 12
Direct
0.125 0.125 0.125 Cs
0.290 0.290 0.290 Cs
0.710 0.710 0.710 Cs
0.875 0.875 0.875 Cs
0.000 0.000 0.000 Mg
0.500 0.500 0.500 Mg
0.411 0.411 0.411 Hg
0.589 0.589 0.589 Hg
0.146 0.616 0.616 Cl
0.199 0.199 0.721 Cl
0.199 0.721 0.199 Cl
0.279 0.801 0.801 Cl
0.384 0.384 0.854 Cl
0.384 0.854 0.384 Cl
0.616 0.146 0.616 Cl
0.616 0.616 0.146 Cl
0.721 0.199 0.199 Cl
0.801 0.279 0.801 Cl
0.801 0.801 0.279 Cl
0.854 0.384 0.384 Cl
```

Summary:
Its uncorrected formation energy is -1.551 eV/atom. Its density of states at the Fermi level is 0.00 states/eV per atom. For the total energy, the calculation gives -3.0194 eV per atom. The space group is No. 166. For the energy above the most stable polymorph in this dataset, the calculation gives 0.00 eV/f.u. For the total magnetization, the calculation gives 0.000 μB/atom.



# 2
Below is a geometry-optimized Cs2MnHg2Cl4 structure, with properties calculated at the PBE-GGA level.

The structure in POSCAR format:
```
Cs2MnHg2Cl4
1.0
-4.048 4.048 4.540
4.048 -4.048 4.540
4.048 4.048 -4.540
Cs Mn Hg Cl
2 1 2 4
Direct
0.250 0.750 0.500 Cs
0.750 0.250 0.500 Cs
0.000 0.000 0.000 Mn
0.327 0.327 0.000 Hg
0.673 0.673 0.000 Hg
0.215 0.215 0.430 Cl
0.215 0.785 0.000 Cl
0.785 0.215 0.000 Cl
0.785 0.785 0.570 Cl
```

Summary:
Its uncorrected formation energy is -1.216 eV/atom. For the total energy, the calculation gives -3.3120 eV per atom. The space group is No. 139. For the total magnetization, the calculation gives 0.556 μB/atom.



# 3
Below is a geometry-optimized Cs3Mn2HgCl9 structure, with properties calculated at the PBE-GGA level.

The structure in POSCAR format:
```
Cs3Mn2HgCl9
1.0
7.388 0.000 0.000
-3.694 6.398 0.000
0.000 0.000 9.072
Cs Mn Hg Cl
3 2 1 9
Direct
0.000 0.000 0.000 Cs
0.333 0.667 0.666 Cs
0.667 0.333 0.334 Cs
0.333 0.667 0.160 Mn
0.667 0.333 0.840 Mn
0.000 0.000 0.500 Hg
0.000 0.500 0.000 Cl
0.173 0.346 0.323 Cl
0.173 0.827 0.323 Cl
0.346 0.173 0.677 Cl
0.500 0.000 0.000 Cl
0.500 0.500 0.000 Cl
0.654 0.827 0.323 Cl
0.827 0.173 0.677 Cl
0.827 0.654 0.677 Cl
```

Summary:
Its uncorrected formation energy is -1.372 eV/atom. Its density of states at the Fermi level is 0.10 states/eV per atom. For the total energy, the calculation gives -3.8932 eV per atom. The space group is No. 164. For the total magnetization, the calculation gives 0.667 μB/atom.



# 4
Below is a geometry-optimized CsMn2HgCl8 structure, with properties calculated at the PBE-GGA level.

The structure in POSCAR format:
```
CsMn2HgCl8
1.0
6.672 0.000 0.000
-3.336 5.778 0.000
0.000 0.000 9.706
Cs Mn Hg Cl
1 2 1 8
Direct
0.000 0.000 0.000 Cs
0.333 0.667 0.730 Mn
0.667 0.333 0.270 Mn
0.000 0.000 0.500 Hg
0.006 0.327 0.669 Cl
0.321 0.994 0.669 Cl
0.327 0.321 0.331 Cl
0.333 0.667 0.960 Cl
0.667 0.333 0.040 Cl
0.673 0.679 0.669 Cl
0.679 0.006 0.331 Cl
0.994 0.673 0.331 Cl
```

Summary:
Its uncorrected formation energy is -1.044 eV/atom. Its density of states at the Fermi level is 0.85 states/eV per atom. For the total energy, the calculation gives -3.9001 eV per atom. The space group is No. 147. For the total magnetization, the calculation gives 0.750 μB/atom.



# 5
Below is a geometry-optimized CsMnHg2Cl8 structure, with properties calculated at the PBE-GGA level.

The structure in POSCAR format:
```
CsMnHg2Cl8
1.0
6.738 0.000 0.000
-1.221 7.083 0.000
-0.763 -3.609 8.313
Cs Mn Hg Cl
1 1 2 8
Direct
0.000 0.000 0.000 Cs
0.000 0.500 0.500 Mn
0.456 0.276 0.733 Hg
0.544 0.724 0.267 Hg
0.108 0.536 0.277 Cl
0.221 0.795 0.661 Cl
0.295 0.262 0.491 Cl
0.433 0.744 0.024 Cl
0.567 0.256 0.976 Cl
0.705 0.738 0.509 Cl
0.779 0.205 0.339 Cl
0.892 0.464 0.723 Cl
```

Summary:
Its uncorrected formation energy is -0.956 eV/atom. Its density of states at the Fermi level is 0.00 states/eV per atom. For the total energy, the calculation gives -3.0727 eV per atom. The space group is No. 2. For the total magnetization, the calculation gives 0.332 μB/atom.



# 6
Below is a geometry-optimized Cs2NaHg2Cl6 structure, with properties calculated at the PBE-GGA level.

The structure in POSCAR format:
```
Cs2NaHg2Cl6
1.0
6.659 -3.930 0.000
6.659 3.930 0.000
-4.312 0.000 7.606
Cs Na Hg Cl
2 1 2 6
Direct
0.214 0.214 0.193 Cs
0.786 0.786 0.807 Cs
0.000 0.000 0.500 Na
0.457 0.457 0.818 Hg
0.543 0.543 0.182 Hg
0.174 0.714 0.214 Cl
0.241 0.241 0.608 Cl
0.286 0.826 0.786 Cl
0.714 0.174 0.214 Cl
0.759 0.759 0.392 Cl
0.826 0.286 0.786 Cl
```

Summary:
Its uncorrected formation energy is -1.245 eV/atom. Its density of states at the Fermi level is 0.48 states/eV per atom. For the total energy, the calculation gives -2.5819 eV per atom. The space group is No. 12. For the total magnetization, the calculation gives 0.000 μB/atom.



# 7
Below is a geometry-optimized Cs2NaHg2Cl7 structure, with properties calculated at the PBE-GGA level.

The structure in POSCAR format:
```
Cs2NaHg2Cl7
1.0
3.822 -3.823 0.000
3.822 3.823 0.000
-3.800 0.000 13.566
Cs Na Hg Cl
2 1 2 7
Direct
0.176 0.176 0.352 Cs
0.824 0.824 0.648 Cs
0.000 0.000 0.000 Na
0.402 0.402 0.804 Hg
0.598 0.598 0.196 Hg
0.088 0.589 0.176 Cl
0.307 0.307 0.612 Cl
0.411 0.912 0.824 Cl
0.500 0.500 0.000 Cl
0.589 0.088 0.176 Cl
0.693 0.693 0.388 Cl
0.912 0.411 0.824 Cl
```

Summary:
Its uncorrected formation energy is -1.204 eV/atom. Its density of states at the Fermi level is 0.00 states/eV per atom. For the total energy, the calculation gives -2.5836 eV per atom. The space group is No. 12. For the total magnetization, the calculation gives 0.000 μB/atom.



# 8
Below is a geometry-optimized CsNa2HgCl structure, with properties calculated at the PBE-GGA level.

The structure in POSCAR format:
```
CsNa2HgCl
1.0
5.511 0.000 0.000
0.000 5.511 0.000
0.000 0.000 6.846
Cs Na Hg Cl
1 2 1 1
Direct
0.000 0.000 0.000 Cs
0.000 0.500 0.500 Na
0.500 0.000 0.500 Na
0.500 0.500 0.000 Hg
0.000 0.000 0.500 Cl
```

Summary:
Its uncorrected formation energy is -0.663 eV/atom. Its density of states at the Fermi level is 0.58 states/eV per atom. For the total energy, the calculation gives -1.7907 eV per atom. The space group is No. 123. For the total magnetization, the calculation gives 0.000 μB/atom.



no.,density (kg/m3)
1,3836
2,4820
3,3982
4,3227
5,3653
6,3766
7,3930
8,3314